Below is a relaxed CdNi3B crystal, with properties calculated at the GGA-PBE level.

For the mass density, the calculation gives 8191 kg/m3. Its density of states at the Fermi level is 0.491 states/eV per atom. The polymorph energy (0 for the lowest one) is 0.0 kJ/mol of atoms. The value obtained for the magnetization is 0.00 μB per cell. For the final energy, the calculation gives -51.07 eV/cell.

The structure belongs to space group Pmmn (No. 59, origin choice 2); the cell edges are 2.870, 6.470 and 6.536 Å and the angles 90.00°, 90.00° and 90.00°. Symmetry generates all atoms from Cd at (0.250, 0.250, 0.038), Ni at (0.250, 0.559, 0.648), Ni at (0.250, 0.750, 0.305) and B at (0.250, 0.250, 0.482).